Computed, not measured: an optimized crystal structure of NaNdOsO6 at the PBE-GGA level of DFT.

Unit cell a=5.7007 b=5.7007 c=4.9245 alpha=90.00 beta=90.00 gamma=120.00
Space group P312 (No. 149)
Asymmetric unit:
Na1 0.0000 0.0000 0.0000 [1 per cell]
Nd1 0.3333 0.6667 0.5000 [1 per cell]
Os1 0.6667 0.3333 0.5000 [1 per cell]
O1 0.3974 0.0600 0.7170 [6 per cell]

Density ... 5.4 Mg/m³
Formation energy (no corrections) ... -1684 meV/atom
Magnetization ... 0.000 μB/cell

Computed, not measured: an optimized crystal structure of MoRhS at the PBE-GGA level of DFT.

Unit cell a=2.9307 b=4.5684 c=6.7756 alpha=90.00 beta=90.00 gamma=90.00
Space group Pmmn (No. 59, origin choice 2)
Asymmetric unit:
Mo1 0.2500 0.2500 0.2113 [2 per cell]
Rh1 0.2500 0.7500 0.4578 [2 per cell]
S1 0.2500 0.7500 0.0849 [2 per cell]

Density ... 8.5 Mg/m³
Formation energy (no corrections) ... -153 meV/atom
Magnetization ... 0.000 μB/cell

Computed, not measured: an optimized crystal structure of TaTe3Cl at the PBE-GGA level of DFT.

Unit cell a=5.3703 b=5.3703 c=5.3703 alpha=90.00 beta=90.00 gamma=90.00
Space group Pm-3m (No. 221)
Asymmetric unit:
Ta1 0.0000 0.0000 0.0000 [1 per cell]
Te1 0.0000 0.0000 0.5000 [3 per cell]
Cl1 0.5000 0.5000 0.5000 [1 per cell]

Density ... 6.4 Mg/m³
Formation energy (no corrections) ... 83 meV/atom
Magnetization ... 0.000 μB/cell

Computed, not measured: an optimized crystal structure of Nd3Tm2In6 at the PBE-GGA level of DFT.

Unit cell a=4.7544 b=4.7544 c=28.9338 alpha=90.00 beta=90.00 gamma=90.00
Space group I4/mmm (No. 139)
Asymmetric unit:
Nd1 0.0000 0.0000 0.0000 [2 per cell]
Nd2 0.0000 0.0000 0.2012 [4 per cell]
Tm1 0.0000 0.0000 0.4465 [4 per cell]
In1 0.0000 0.0000 0.3116 [4 per cell]
In2 0.0000 0.5000 0.1174 [8 per cell]

Formation energy ... -0.213 eV/atom
Density ... 7.4 Mg/m³
Magnetization ... 0.001 μB/cell